Entry 1:
DFT (PBE-GGA) results for a relaxed Pm6Pr2YHo crystal.

Calculated values
The value obtained for the total energy is -96.0 eV for the cell shown. Its magnetic moment is 0.0000 μB per atom.

Cell: 8.977 8.977 9.867 Å, 94.36 94.36 118.42°
Sites, in units of the cell vectors:
Pm1 0.019 0.576 0.190
Pm2 0.126 0.750 0.556
Pm3 0.250 0.874 0.944
Pm4 0.291 0.498 0.381
Pm5 0.424 0.981 0.310
Pm6 0.498 0.291 0.881
Pm7 0.502 0.709 0.119
Pm8 0.576 0.019 0.690
Pm9 0.709 0.502 0.619
Pm10 0.750 0.126 0.056
Pm11 0.874 0.250 0.444
Pm12 0.981 0.424 0.810
Pr1 0.194 0.299 0.042
Pr2 0.299 0.194 0.542
Pr3 0.701 0.806 0.458
Pr4 0.806 0.701 0.958
Y1 0.019 0.981 0.250
Y2 0.981 0.019 0.750
Ho1 0.408 0.592 0.750
Ho2 0.592 0.408 0.250

---

Entry 2:
DFT (PBE-GGA) results for a relaxed Al3CrPd crystal.

Calculated values
The value obtained for the total energy is -23.1 eV for the cell shown. Its magnetic moment is 0.3419 μB per atom. Its energy above the lowest structure with this stoichiometry is 0.0 meV/atom.

Cell: 4.588 4.588 4.588 Å, 90.00 90.00 90.00°
Sites, in units of the cell vectors:
Al1 0.000 0.000 0.500
Al2 0.000 0.500 0.000
Al3 0.500 0.000 0.000
Cr1 0.000 0.000 0.000
Pd1 0.500 0.500 0.500

---

Entry 3:
DFT (PBE-GGA) results for a relaxed Nd3Sm2HoTm6 crystal.

Calculated values
The value obtained for the total energy is -54.9 eV for the cell shown. Its magnetic moment is 0.0000 μB per atom.

Cell: 6.183 6.183 11.703 Å, 95.04 95.04 119.98°
Sites, in units of the cell vectors:
Nd1 0.000 0.000 0.000
Nd2 0.333 0.667 0.000
Nd3 0.667 0.333 0.000
Sm1 0.167 0.833 0.500
Sm2 0.833 0.167 0.500
Ho1 0.500 0.500 0.500
Tm1 0.084 0.417 0.252
Tm2 0.250 0.250 0.748
Tm3 0.417 0.084 0.252
Tm4 0.583 0.916 0.748
Tm5 0.750 0.750 0.252
Tm6 0.916 0.583 0.748

---

Entry 4:
DFT (PBE-GGA) results for a relaxed PmDy2Sc crystal.

Calculated values
The value obtained for the total energy is -19.7 eV for the cell shown. Its magnetic moment is 0.0051 μB per atom. Its energy above the lowest structure with this stoichiometry is 126.0 meV/atom.

Cell: 5.576 5.576 5.576 Å, 60.00 60.00 60.00°
Sites, in units of the cell vectors:
Pm1 0.000 0.000 0.000
Dy1 0.250 0.250 0.250
Dy2 0.750 0.750 0.750
Sc1 0.500 0.500 0.500

---

Entry 5:
DFT (PBE-GGA) results for a relaxed TaNbCuRe crystal.

Calculated values
The value obtained for the total energy is -38.6 eV for the cell shown. Its magnetic moment is 0.0000 μB per atom.

Cell: 4.500 4.500 4.500 Å, 60.00 60.00 60.00°
Sites, in units of the cell vectors:
Ta1 0.000 0.000 0.000
Nb1 0.500 0.500 0.500
Cu1 0.750 0.750 0.750
Re1 0.250 0.250 0.250

---

Entry 6:
DFT (PBE-GGA) results for a relaxed NdBe3Rh crystal.

Calculated values
The value obtained for the total energy is -24.5 eV for the cell shown. Its magnetic moment is 0.0000 μB per atom.

Cell: 4.294 4.294 4.294 Å, 90.00 90.00 90.00°
Sites, in units of the cell vectors:
Nd1 0.000 0.000 0.000
Be1 0.000 0.500 0.500
Be2 0.500 0.000 0.500
Be3 0.500 0.500 0.000
Rh1 0.500 0.500 0.500

---

D(E_F) per entry: 14.49, 3.54, 13.64, 10.19, 1.73, 1.72 states/eV/f.u.